No. 1
{"formula": "LiLaPmSc", "functional": "PBE", "state": "optimized geometry", "lattice_angstrom": [[-4.209, 0.765, 3.442], [-3.956, -3.789, 0.384], [-0.432, -3.069, 4.533]], "species": ["Sc", "La", "Li", "Pm"], "frac_coords": [[0.500, 0.500, 0.500], [0.750, 0.750, 0.750], [0.000, 0.000, 0.000], [0.250, 0.250, 0.250]], "energy_ev_per_cell": -17.4, "n_ef_per_ev_fu": 4.1}

No. 2
{"formula": "HoZn2Cu2Pd", "functional": "PBE", "state": "optimized geometry", "lattice_angstrom": [[4.736, 0.000, 0.000], [0.000, 4.736, 0.000], [0.000, 0.000, 5.203]], "species": ["Ho", "Zn", "Zn", "Cu", "Cu", "Pd"], "frac_coords": [[0.000, 0.000, 0.500], [0.500, 0.000, 0.000], [0.000, 0.500, 0.000], [0.500, 0.500, 0.743], [0.500, 0.500, 0.257], [0.000, 0.000, 0.000]], "energy_ev_per_cell": -20.6, "n_ef_per_ev_fu": 2.1}

No. 3
{"formula": "CdWCl", "functional": "PBE", "state": "optimized geometry", "lattice_angstrom": [[-0.301, 3.485, -2.811], [1.966, -0.191, -4.029], [-2.508, -0.318, -3.708]], "species": ["Cl", "W", "Cd"], "frac_coords": [[0.500, 0.500, 0.500], [0.750, 0.750, 0.750], [0.000, 0.000, 0.000]], "e_form_raw_ev_per_atom": 1.5190, "energy_ev_per_cell": -11.2, "n_ef_per_ev_fu": 3.0, "polymorph_energy_mev_per_atom": 1296}

No. 4
{"formula": "TlInRh", "functional": "PBE", "state": "optimized geometry", "lattice_angstrom": [[2.974, -5.472, -2.249], [2.152, -5.860, 2.209], [-4.595, 4.748, -0.434]], "species": ["Tl", "In", "Rh"], "frac_coords": [[0.312, 0.312, 0.000], [0.031, 0.031, 0.000], [0.657, 0.657, 0.000]], "energy_ev_per_cell": -12.5, "n_ef_per_ev_fu": 1.8, "polymorph_energy_mev_per_atom": 55}

Short version: calculated density = 4.8; 7.5; 8.6; 10.9 Mg/m³, in the order given.